Below is a relaxed Mg2AlSb crystal, with properties calculated at the PBE-GGA level.

Cell: 5.3734 5.3734 5.3734 Å, 130.36 130.22 72.94°
Closest atoms and distances in Å follow each position.
Sites, in units of the cell vectors:
1 Al 0.7500 0.2500 0.5000  8 Mg 3.12-3.13, 4 Sb 3.19
2 Sb 0.2500 0.7500 0.5000  8 Mg 3.12-3.13, 4 Al 3.19
3 Mg 0.4999 0.4999 0.0000  4 Sb 3.12-3.13, 4 Al 3.12-3.13, 4 Mg 3.19
4 Mg 0.0001 0.0001 0.0000  4 Sb 3.12-3.13, 4 Al 3.12-3.13, 4 Mg 3.19

Uncorrected formation energy = -0.06 eV/atom
E above lowest polymorph = 1.4 kJ/mol of atoms
Space-group type = Immm (71)
Total DFT energy (no corrections) = -2.82 eV per atom

=====

Below is a relaxed SrSnSbRh3 crystal, with properties calculated at the PBE-GGA level.

Cell: 5.9765 5.9616 8.6827 Å, 110.08 90.00 90.00°
Closest atoms and distances in Å follow each position.
Sites, in units of the cell vectors:
1 Sr 0.7500 0.2597 0.5194  4 Rh 2.98-3.00
2 Sr 0.2500 0.7403 0.4806  4 Rh 2.98-3.00
3 Sb 0.2500 0.0898 0.1797  5 Rh 2.53-2.58
4 Sb 0.7500 0.9102 0.8203  5 Rh 2.53-2.58
5 Rh 0.0000 0.7471 0.0000  2 Sb 2.58, 2 Sn 2.63
6 Rh 0.5000 0.7471 0.0000  2 Sb 2.58, 2 Sn 2.63
7 Rh 0.5000 0.2529 0.0000  2 Sb 2.58, 2 Sn 2.63
8 Rh 0.2500 0.2448 0.4897  1 Sb 2.53, 1 Sn 2.57
9 Rh 0.7500 0.7552 0.5103  1 Sb 2.53, 1 Sn 2.57
10 Rh 0.0000 0.2529 0.0000  2 Sb 2.58, 2 Sn 2.63
11 Sn 0.2500 0.4024 0.8049  5 Rh 2.57-2.63
12 Sn 0.7500 0.5976 0.1951  5 Rh 2.57-2.63

Uncorrected formation energy = -0.41 eV/atom
Space-group type = Cmcm (63)
Total DFT energy (no corrections) = -5.72 eV per atom

=====

Below is a relaxed SmCuSn crystal, with properties calculated at the PBE-GGA level.

Cell: 3.9333 4.4263 9.3094 Å, 90.00 102.20 90.00°
Closest atoms and distances in Å follow each position.
Sites, in units of the cell vectors:
1 Sn 0.5496 0.2500 0.0992  2 Cu 2.71, 2 Sn 2.86
2 Sn 0.4504 0.7500 0.9008  2 Cu 2.71, 2 Sn 2.86
3 Cu 0.8476 0.7500 0.6951  2 Sn 2.71, 5 Sm 3.01-3.03
4 Cu 0.1524 0.2500 0.3049  2 Sn 2.71, 5 Sm 3.01-3.03
5 Sm 0.6810 0.7500 0.3621  5 Cu 3.01-3.03, 2 Sn 3.26
6 Sm 0.3190 0.2500 0.6379  5 Cu 3.01-3.03, 2 Sn 3.26

Space-group type = Cmcm (63)
ΔE_f = -0.092 eV/atom
Total DFT energy (no corrections) = -4.36 eV per atom